[1]
# PBE-GGA ReB6N6, relaxed
# Magnetic moment   2.64 μB/f.u.
# Energy relative to the elements, uncorrected   139.0 meV/atom
data_ReB6N6
_chemical_formula_sum 'Re1 B6 N6'
_cell_length_a 4.6047
_cell_length_b 4.6047
_cell_length_c 4.6047
_cell_angle_alpha 90.00
_cell_angle_beta 90.00
_cell_angle_gamma 90.00
_space_group_name_H-M_alt 'P m -3'
_space_group_IT_number 200
_space_group_name_Hall '-P 2 2 3'
loop_
_atom_site_label
_atom_site_type_symbol
_atom_site_fract_x
_atom_site_fract_y
_atom_site_fract_z
Re1 Re 0.0000 0.0000 0.0000
B1 B 0.0000 0.2401 0.5000
N1 N 0.0000 0.5000 0.2536


[2]
# PBE-GGA ReBSN2, relaxed
# Excess energy over the best structure of this formula in the dataset   389 meV/atom
# Magnetic moment   0.74 μB/f.u.
# Energy relative to the elements, uncorrected   1590.7 meV/atom
data_ReBSN2
_chemical_formula_sum 'Re1 B1 S1 N2'
_cell_length_a 3.4742
_cell_length_b 3.4742
_cell_length_c 4.0219
_cell_angle_alpha 90.00
_cell_angle_beta 90.00
_cell_angle_gamma 90.00
_space_group_name_H-M_alt 'P 4/m m m'
_space_group_IT_number 123
_space_group_name_Hall '-P 4 2'
loop_
_atom_site_label
_atom_site_type_symbol
_atom_site_fract_x
_atom_site_fract_y
_atom_site_fract_z
Re1 Re 0.0000 0.0000 0.0000
B1 B 0.5000 0.5000 0.5000
S1 S 0.5000 0.5000 0.0000
N1 N 0.0000 0.5000 0.5000


[3]
# PBE-GGA ReBSN2, relaxed
# Excess energy over the best structure of this formula in the dataset   0 meV/atom
# Magnetic moment   0.00 μB/f.u.
# Energy relative to the elements, uncorrected   1201.9 meV/atom
data_ReBSN2
_chemical_formula_sum 'Re1 B1 S1 N2'
_cell_length_a 3.7875
_cell_length_b 3.7875
_cell_length_c 5.0222
_cell_angle_alpha 90.00
_cell_angle_beta 90.00
_cell_angle_gamma 90.00
_space_group_name_H-M_alt 'P 4/m m m'
_space_group_IT_number 123
_space_group_name_Hall '-P 4 2'
loop_
_atom_site_label
_atom_site_type_symbol
_atom_site_fract_x
_atom_site_fract_y
_atom_site_fract_z
Re1 Re 0.0000 0.0000 0.0000
B1 B 0.5000 0.5000 0.5000
S1 S 0.0000 0.0000 0.5000
N1 N 0.0000 0.5000 0.0000


[4]
# PBE-GGA Re2SiBN, relaxed
# Magnetic moment   0.00 μB/f.u.
# Energy relative to the elements, uncorrected   2395.1 meV/atom
data_Re2SiBN
_chemical_formula_sum 'Re2 Si1 B1 N1'
_cell_length_a 4.4642
_cell_length_b 4.4642
_cell_length_c 3.5371
_cell_angle_alpha 90.00
_cell_angle_beta 90.00
_cell_angle_gamma 90.00
_space_group_name_H-M_alt 'P 4/m m m'
_space_group_IT_number 123
_space_group_name_Hall '-P 4 2'
loop_
_atom_site_label
_atom_site_type_symbol
_atom_site_fract_x
_atom_site_fract_y
_atom_site_fract_z
Re1 Re 0.0000 0.5000 0.0000
Si1 Si 0.0000 0.0000 0.0000
B1 B 0.0000 0.0000 0.5000
N1 N 0.5000 0.5000 0.5000


> What is the formula in the second record?

ReBSN2


> Which of these has the highest energy relative to the elements, uncorrected?

Re2SiBN